Material: Cu2PtF8
Method: DFT, GGA-PBE
State: relaxed

Values from the calculation:
- energy relative to the elements, uncorrected (kJ per mole of atoms) = -127.3

a b c (Å): 3.884 6.445 6.445
angles (deg): 120.00 90.00 90.00
Element x y z (fractional)
Cu (0.710, 0.667, 0.333)
Cu (0.290, 0.333, 0.667)
Pt (0.500, 0.000, 0.000)
F (0.786, 0.333, 0.667)
F (0.214, 0.667, 0.333)
F (0.249, 0.154, 0.309)
F (0.751, 0.846, 0.691)
F (0.751, 0.309, 0.154)
F (0.249, 0.691, 0.846)
F (0.249, 0.154, 0.846)
F (0.751, 0.846, 0.154)